Entry 1:
A plane-wave DFT calculation with PBE was carried out for a relaxed structure of KAsRu2.

Unit cell a=4.8527 b=4.8527 c=9.2085 alpha=74.72 beta=74.72 gamma=90.00
Closest atoms and distances in Å follow each position.
Fractional coordinates of all 8 atoms:
Ru 0.8952 0.1250 0.2500  2 Ru 2.43, 2 As 2.46
Ru 0.8750 0.1452 0.7500  2 Ru 2.43, 2 As 2.46
Ru 0.3750 0.1048 0.7500  2 Ru 2.43, 2 As 2.46
Ru 0.8548 0.6250 0.2500  2 Ru 2.43, 2 As 2.46
As 0.0000 0.0000 0.0000  4 Ru 2.46
As 0.7500 0.2500 0.5000  4 Ru 2.46
K 0.2500 0.7500 0.5000  8 Ru 3.38-3.52, 4 As 3.43
K 0.5000 0.5000 0.0000  8 Ru 3.38-3.52, 4 As 3.43

Spin magnetization: 0.2 μB per formula unit
Calculated volume: 25.15 Å³ per atom
Uncorrected energy: -5.464 eV/atom
Space-group type: No. 122

Entry 2:
A plane-wave DFT calculation with PBE was carried out for a relaxed structure of TbDy2Th.

Unit cell a=3.5585 b=3.5585 c=10.0795 alpha=90.00 beta=90.00 gamma=90.00
Closest atoms and distances in Å follow each position.
Fractional coordinates of all 4 atoms:
Dy 0.0000 0.0000 0.7554  4 Th 3.52, 4 Dy 3.56, 4 Tb 3.60
Dy 0.0000 0.0000 0.2446  4 Th 3.52, 4 Dy 3.56, 4 Tb 3.60
Th 0.5000 0.5000 0.0000  8 Dy 3.52, 4 Th 3.56
Tb 0.5000 0.5000 0.5000  4 Tb 3.56, 8 Dy 3.60

Spin magnetization: 0.0 μB per formula unit
Calculated volume: 31.91 Å³ per atom
Uncorrected energy: -5.289 eV/atom
Space-group type: No. 123
Distance to the lowest polymorph of the same formula: 0.000 eV/f.u.

Entry 3:
A plane-wave DFT calculation with PBE was carried out for a relaxed structure of FePC3.

Unit cell a=6.1806 b=2.5707 c=7.0661 alpha=90.00 beta=122.87 gamma=90.00
Closest atoms and distances in Å follow each position.
Fractional coordinates of all 10 atoms:
C 0.4108 0.5000 0.9565  3 C 1.41-1.54
C 0.3394 0.0000 0.0298  3 C 1.48-1.54
C 0.4455 0.0000 0.2749  2 C 1.41-1.48
C 0.4108 0.0000 0.4565  3 C 1.41-1.54
C 0.4455 0.5000 0.7749  2 C 1.41-1.48
C 0.3394 0.5000 0.5298  3 C 1.48-1.54
P 0.9579 0.5000 0.3694  1 C 1.99, 2 Fe 2.19
P 0.9579 0.0000 0.8694  1 C 1.99, 2 Fe 2.19
Fe 0.7784 0.5000 0.9976  1 C 1.79
Fe 0.7784 0.0000 0.4976  1 C 1.79

Spin magnetization: 0.0 μB per formula unit
Calculated volume: 9.43 Å³ per atom
Uncorrected energy: -7.783 eV/atom
Space-group type: No. 8
Distance to the lowest polymorph of the same formula: 1.014 eV/f.u.